Below is a relaxed structure of CaLaTe3, with properties calculated at the PBE level.

```
CaLaTe3
1.0
6.086 0.000 0.000
0.000 6.086 0.000
0.000 0.000 6.086
Ca La Te
1 1 3
Cartesian
0.000 0.000 0.000
3.043 3.043 3.043
0.000 3.043 3.043
3.043 0.000 3.043
3.043 3.043 0.000
```

Calculated values
Fermi-level density of states (states/eV/cell): 5.606
Theoretical density (g/cm3): 4.14
Calculated total energy (hartree per atom): -0.1473
Crystal system: cubic
ΔE_f (raw) (meV/atom): -738.6


Below is a relaxed structure of Ca3LaTe4, with properties calculated at the PBE level.

```
Ca3LaTe4
1.0
6.417 0.000 0.000
0.000 6.417 0.000
0.000 0.000 12.825
Ca La Te
6 2 8
Cartesian
0.000 0.000 0.000
0.000 3.208 3.206
0.000 3.208 9.619
3.208 0.000 3.206
3.208 0.000 9.619
3.208 3.208 6.412
0.000 0.000 6.412
3.208 3.208 0.000
0.000 0.000 3.165
0.000 0.000 9.659
0.000 3.208 0.000
0.000 3.208 6.412
3.208 0.000 0.000
3.208 0.000 6.412
3.208 3.208 3.247
3.208 3.208 9.578
```

Calculated values
Fermi-level density of states (states/eV/cell): 6.919
Theoretical density (g/cm3): 4.84
Calculated total energy (hartree per atom): -0.1669
Crystal system: tetragonal
ΔE_f (raw) (meV/atom): -1603.6


Below is a relaxed structure of Ca3LaTe4, with properties calculated at the PBE level.

```
Ca3LaTe4
1.0
9.082 0.000 0.000
0.000 12.827 0.000
0.000 0.000 4.520
Ca La Te
6 2 8
Cartesian
0.000 0.000 0.000
2.270 3.207 2.260
2.270 9.620 2.260
4.541 6.413 0.000
6.811 3.207 2.260
6.811 9.620 2.260
0.000 6.413 0.000
4.541 0.000 0.000
0.000 3.176 0.000
0.000 9.650 0.000
2.219 0.000 2.260
2.322 6.413 2.260
4.541 3.237 0.000
4.541 9.590 0.000
6.760 6.413 2.260
6.863 0.000 2.260
```

Calculated values
Fermi-level density of states (states/eV/cell): 5.604
Theoretical density (g/cm3): 4.85
Calculated total energy (hartree per atom): -0.1670
Crystal system: orthorhombic
ΔE_f (raw) (meV/atom): -1608.3


Below is a relaxed structure of CaLa2Te4, with properties calculated at the PBE level.

```
CaLa2Te4
1.0
2.254 -7.491 0.000
2.254 7.491 0.000
0.000 0.000 15.530
Ca La Te
2 4 8
Cartesian
2.254 5.740 11.648
2.254 -5.740 3.883
2.254 2.012 8.897
2.254 2.012 14.398
2.254 -2.012 1.132
2.254 -2.012 6.633
0.000 0.000 0.000
0.000 0.000 7.765
2.254 3.334 1.893
2.254 3.334 5.872
2.254 0.446 11.648
2.254 -0.446 3.883
2.254 -3.334 9.658
2.254 -3.334 13.637
```

Calculated values
Theoretical density (g/cm3): 5.24
Calculated total energy (hartree per atom): -0.1846
Crystal system: orthorhombic
ΔE_f (raw) (meV/atom): -1534.1


Below is a relaxed structure of Ca2LaTe4, with properties calculated at the PBE level.

```
Ca2LaTe4
1.0
2.204 -7.209 0.000
2.204 7.209 0.000
0.000 0.000 15.447
Ca La Te
4 2 8
Cartesian
2.204 5.248 8.778
2.204 5.248 14.392
2.204 -5.248 1.055
2.204 -5.248 6.668
2.204 1.637 11.585
2.204 -1.637 3.862
2.204 6.520 11.585
2.204 4.130 1.901
2.204 4.130 5.823
2.204 0.000 0.000
2.204 0.000 7.723
2.204 -4.130 9.624
2.204 -4.130 13.546
2.204 -6.520 3.862
```

Calculated values
Fermi-level density of states (states/eV/cell): 7.313
Theoretical density (g/cm3): 4.94
Calculated total energy (hartree per atom): -0.1639
Crystal system: orthorhombic
ΔE_f (raw) (meV/atom): -1388.1


Below is a relaxed structure of CaLa2Te3, with properties calculated at the PBE level.

```
CaLa2Te3
1.0
4.518 0.000 0.000
0.000 6.448 0.000
0.000 0.000 13.801
Ca La Te
2 4 6
Cartesian
0.000 0.000 0.000
2.259 3.224 6.900
0.000 0.000 4.580
0.000 0.000 9.220
2.259 3.224 2.320
2.259 3.224 11.481
0.000 3.224 0.000
0.000 3.224 4.687
0.000 3.224 9.113
2.259 0.000 2.213
2.259 0.000 6.900
2.259 0.000 11.588
```

Calculated values
Fermi-level density of states (states/eV/cell): 5.859
Theoretical density (g/cm3): 5.79
Calculated total energy (hartree per atom): -0.1887
Crystal system: orthorhombic
ΔE_f (raw) (meV/atom): -1588.3


Q: Number 6 is which compound?
A: CaLa2Te3